No. 1
# RbZn3Os, optimized geometry, DFT PBEsol
# Density (g/cm3): 4.3
# ΔE_f (eV/atom): 2.480
# Final energy (eV per cell): -5.59
# M_tot (μB per atom): 0.618
# Crystal system: cubic
data_RbZn3Os
_cell_length_a 5.6709
_cell_length_b 5.6709
_cell_length_c 5.6709
_cell_angle_alpha 90.00
_cell_angle_beta 90.00
_cell_angle_gamma 90.00
_symmetry_space_group_name_H-M 'P m -3 m'
_symmetry_Int_Tables_number 221
_symmetry_space_group_name_Hall '-P 4 2 3'
loop_
_atom_site_label
_atom_site_type_symbol
_atom_site_fract_x
_atom_site_fract_y
_atom_site_fract_z
Rb1 Rb 0.0000 0.0000 0.0000
Zn1 Zn 0.0000 0.0000 0.5000
Os1 Os 0.5000 0.5000 0.5000



No. 2
# ReOs5, optimized geometry, DFT PBEsol
# Density (g/cm3): 22.5
# ΔE_f (eV/atom): -0.052
# Final energy (eV per cell): -74.72
# M_tot (μB per atom): 0.000
# Crystal system: hexagonal
data_ReOs5
_cell_length_a 4.7434
_cell_length_b 4.7434
_cell_length_c 4.3133
_cell_angle_alpha 90.00
_cell_angle_beta 90.00
_cell_angle_gamma 120.00
_symmetry_space_group_name_H-M 'P -6 2 m'
_symmetry_Int_Tables_number 189
_symmetry_space_group_name_Hall 'P -6 -2'
loop_
_atom_site_label
_atom_site_type_symbol
_atom_site_fract_x
_atom_site_fract_y
_atom_site_fract_z
Re1 Re 0.0000 0.0000 0.0000
Os1 Os 0.0000 0.6660 0.5000
Os2 Os 0.3333 0.6667 0.0000



No. 3
# Re5Os, optimized geometry, DFT PBEsol
# Density (g/cm3): 21.5
# ΔE_f (eV/atom): -0.043
# Final energy (eV per cell): -158.27
# M_tot (μB per atom): 0.000
# Crystal system: monoclinic
data_Re5Os
_cell_length_a 10.0242
_cell_length_b 2.7478
_cell_length_c 6.4944
_cell_angle_alpha 90.00
_cell_angle_beta 104.35
_cell_angle_gamma 90.00
_symmetry_space_group_name_H-M 'C 1 m 1'
_symmetry_Int_Tables_number 8
_symmetry_space_group_name_Hall 'C -2y'
loop_
_atom_site_label
_atom_site_type_symbol
_atom_site_fract_x
_atom_site_fract_y
_atom_site_fract_z
Re1 Re 0.0000 0.0000 0.0000
Re2 Re 0.0560 0.0000 0.6096
Re3 Re 0.2206 0.5000 0.9453
Re4 Re 0.3309 0.0000 0.6648
Re5 Re 0.3871 0.0000 0.2782
Os1 Os 0.1658 0.5000 0.3343



No. 4
# ReOs5, optimized geometry, DFT PBEsol
# Density (g/cm3): 22.4
# ΔE_f (eV/atom): -0.045
# Final energy (eV per cell): -149.37
# M_tot (μB per atom): 0.000
# Crystal system: orthorhombic
data_ReOs5
_cell_length_a 4.3287
_cell_length_b 2.7400
_cell_length_c 14.2402
_cell_angle_alpha 90.00
_cell_angle_beta 90.00
_cell_angle_gamma 90.00
_symmetry_space_group_name_H-M 'A m m 2'
_symmetry_Int_Tables_number 38
_symmetry_space_group_name_Hall 'A 2 -2'
loop_
_atom_site_label
_atom_site_type_symbol
_atom_site_fract_x
_atom_site_fract_y
_atom_site_fract_z
Re1 Re 0.0000 0.0000 0.0000
Os1 Os 0.0000 0.0000 0.3318
Os2 Os 0.0000 0.0000 0.6658
Os3 Os 0.5000 0.0000 0.1102
Os4 Os 0.5000 0.0000 0.4435
Os5 Os 0.5000 0.0000 0.7771



No. 5
# Re5Os, optimized geometry, DFT PBEsol
# Density (g/cm3): 21.5
# ΔE_f (eV/atom): -0.038
# Final energy (eV per cell): -79.11
# M_tot (μB per atom): 0.000
# Crystal system: hexagonal
data_Re5Os
_cell_length_a 4.7637
_cell_length_b 4.7637
_cell_length_c 4.4110
_cell_angle_alpha 90.00
_cell_angle_beta 90.00
_cell_angle_gamma 120.00
_symmetry_space_group_name_H-M 'P -6 2 m'
_symmetry_Int_Tables_number 189
_symmetry_space_group_name_Hall 'P -6 -2'
loop_
_atom_site_label
_atom_site_type_symbol
_atom_site_fract_x
_atom_site_fract_y
_atom_site_fract_z
Re1 Re 0.0000 0.6678 0.0000
Re2 Re 0.3333 0.6667 0.5000
Os1 Os 0.0000 0.0000 0.5000



No. 6
# ReOs2, optimized geometry, DFT PBEsol
# Density (g/cm3): 22.2
# ΔE_f (eV/atom): -0.070
# Final energy (eV per cell): -151.90
# M_tot (μB per atom): 0.000
# Crystal system: monoclinic
data_ReOs2
_cell_length_a 9.8879
_cell_length_b 2.7377
_cell_length_c 6.4364
_cell_angle_alpha 90.00
_cell_angle_beta 103.66
_cell_angle_gamma 90.00
_symmetry_space_group_name_H-M 'C 1 m 1'
_symmetry_Int_Tables_number 8
_symmetry_space_group_name_Hall 'C -2y'
loop_
_atom_site_label
_atom_site_type_symbol
_atom_site_fract_x
_atom_site_fract_y
_atom_site_fract_z
Re1 Re 0.0000 0.0000 0.0000
Re2 Re 0.1685 0.5000 0.3354
Os1 Os 0.1125 0.5000 0.7229
Os2 Os 0.2785 0.0000 0.0562
Os3 Os 0.3344 0.0000 0.6666
Os4 Os 0.4455 0.5000 0.3896